1.
Ca4Tb3NdTe8 GGA-PBE optimized geometry; V = 31.1 Å³ per atom; Fermi-level density of states = 0.3800 states/eV/atom; uncorrected formation energy = -1.477 eV per atom; E = -4.715 eV per atom
1.0
4.413 2.548 7.382
-4.413 2.548 7.382
0.000 -5.096 7.382
Ca Tb Nd Te
4 3 1 8
Cartesian
0.000 0.000 0.000
-2.207 -1.274 7.382
-2.207 1.274 14.763
0.000 2.548 7.382
-4.413 0.000 11.073
-2.207 1.274 3.691
2.207 1.274 3.691
0.000 0.000 11.073
-2.240 -1.293 12.914
0.000 -2.586 9.232
-2.240 1.293 9.232
0.000 0.000 5.505
0.000 0.000 16.640
2.240 -1.293 12.914
0.000 2.586 12.914
2.240 1.293 9.232

=====

2.
CaTb2Nd3Te6 GGA-PBE optimized geometry; V = 31.3 Å³ per atom; Fermi-level density of states = 0.4952 states/eV/atom; uncorrected formation energy = -1.419 eV per atom; E = -5.120 eV per atom
1.0
9.734 -2.213 0.000
9.734 2.213 0.000
-2.180 0.000 8.703
Ca Tb Nd Te
1 2 3 6
Cartesian
0.000 0.000 0.000
4.990 0.000 5.755
12.299 0.000 2.948
-1.090 0.000 4.352
6.126 0.000 1.516
11.162 0.000 7.187
3.027 0.000 0.764
2.005 0.000 5.011
8.013 0.000 6.561
9.276 0.000 2.142
15.284 0.000 3.693
14.262 0.000 7.940

=====

3.
CaTb2NdTe4 GGA-PBE optimized geometry; V = 30.8 Å³ per atom; Fermi-level density of states = 0.4596 states/eV/atom; uncorrected formation energy = -1.413 eV per atom; E = -4.988 eV per atom
1.0
7.675 0.000 0.000
0.000 4.401 0.000
-2.512 0.000 7.298
Ca Tb Nd Te
1 2 1 4
Cartesian
0.000 0.000 0.000
2.582 0.000 3.649
3.838 2.201 0.000
-1.256 2.201 3.649
1.336 2.201 1.814
0.075 0.000 5.519
5.088 0.000 1.779
3.827 2.201 5.484

=====

4.
CaTb3Nd2Te6 GGA-PBE optimized geometry; V = 30.9 Å³ per atom; Fermi-level density of states = 0.4991 states/eV/atom; uncorrected formation energy = -1.406 eV per atom; E = -5.096 eV per atom
1.0
9.690 -2.208 0.000
9.690 2.208 0.000
-2.087 0.000 8.660
Ca Tb Nd Te
1 3 2 6
Cartesian
0.000 0.000 0.000
-1.043 0.000 4.330
6.042 0.000 1.485
11.252 0.000 7.175
4.976 0.000 5.686
12.318 0.000 2.974
1.901 0.000 5.094
3.056 0.000 0.654
9.143 0.000 2.173
8.151 0.000 6.487
14.237 0.000 8.006
15.392 0.000 3.566

=====

5.
CaTbNdTh GGA-PBE optimized geometry; V = 34.4 Å³ per atom; Fermi-level density of states = 2.0530 states/eV/atom; energy of formation = 0.23 eV/atom; E = -4.478 eV per atom
1.0
0.000 4.099 4.099
4.099 0.000 4.099
4.099 4.099 0.000
Ca Tb Nd Th
1 1 1 1
Cartesian
0.000 0.000 0.000
2.050 2.050 2.050
6.149 6.149 6.149
4.099 4.099 4.099

=====

6.
CaTb2NdTl4 GGA-PBE optimized geometry; V = 28.6 Å³ per atom; Fermi-level density of states = 0.6772 states/eV/atom; energy of formation = -0.38 eV/atom; E = -3.562 eV per atom
1.0
2.716 1.568 8.951
-2.716 1.568 8.951
0.000 -3.137 8.951
Ca Tb Nd Tl
1 2 1 4
Cartesian
0.000 0.000 0.000
0.000 0.000 6.785
0.000 0.000 20.069
0.000 0.000 13.427
0.000 0.000 3.357
0.000 0.000 10.070
0.000 0.000 16.784
0.000 0.000 23.497

=====

7.
CaTbNd2Tl4 GGA-PBE optimized geometry; V = 29.2 Å³ per atom; Fermi-level density of states = 0.6648 states/eV/atom; energy of formation = -0.39 eV/atom; E = -3.591 eV per atom
1.0
2.737 1.580 8.990
-2.737 1.580 8.990
0.000 -3.160 8.990
Ca Tb Nd Tl
1 1 2 4
Cartesian
0.000 0.000 0.000
0.000 0.000 13.485
0.000 0.000 6.847
0.000 0.000 20.123
0.000 0.000 3.431
0.000 0.000 10.186
0.000 0.000 16.784
0.000 0.000 23.539

=====

8.
CaTbNd6Tm2 GGA-PBE optimized geometry; V = 34.8 Å³ per atom; Fermi-level density of states = 1.5277 states/eV/atom; energy of formation = 0.13 eV/atom; E = -4.283 eV per atom
1.0
4.613 -7.727 0.000
4.613 7.727 0.000
-1.469 0.000 9.759
Ca Tb Nd Tm
2 2 12 4
Cartesian
3.511 6.204 7.319
4.245 -6.204 2.440
4.245 0.432 2.440
3.511 -0.432 7.319
3.106 6.101 3.684
2.473 3.558 1.727
5.385 6.101 1.195
3.224 2.688 5.389
3.798 2.688 9.249
6.017 3.558 3.153
1.739 -3.558 6.606
3.959 -2.688 0.510
4.532 -2.688 4.369
2.371 -6.101 8.564
5.283 -3.558 8.032
4.651 -6.101 6.074
0.936 0.769 9.326
1.670 -0.769 4.446
6.086 0.769 5.313
6.821 -0.769 0.433

=====

9.
CaTbNdTm GGA-PBE optimized geometry; V = 34.0 Å³ per atom; Fermi-level density of states = 1.6065 states/eV/atom; energy of formation = 0.13 eV/atom; E = -3.835 eV per atom
1.0
0.000 4.083 4.083
4.083 0.000 4.083
4.083 4.083 0.000
Ca Tb Nd Tm
1 1 1 1
Cartesian
0.000 0.000 0.000
2.042 2.042 2.042
6.125 6.125 6.125
4.083 4.083 4.083

=====

10.
CaTb3Nd6Y2 GGA-PBE optimized geometry; V = 34.1 Å³ per atom; Fermi-level density of states = 1.1922 states/eV/atom; energy of formation = 0.03 eV/atom; E = -4.756 eV per atom
1.0
3.167 -5.480 0.000
3.167 5.480 0.000
-2.091 0.000 11.794
Ca Tb Nd Y
1 3 6 2
Cartesian
0.000 0.000 0.000
2.121 3.656 5.897
2.121 0.000 5.897
2.121 -3.656 5.897
1.084 1.862 2.985
0.052 0.000 8.802
1.084 -1.862 2.985
3.158 1.862 8.808
4.190 0.000 2.992
3.158 -1.862 8.808
3.167 1.828 0.000
3.167 -1.828 0.000

=====

11.
CaTb2Nd6Y GGA-PBE optimized geometry; V = 35.2 Å³ per atom; Fermi-level density of states = 1.5026 states/eV/atom; energy of formation = 0.13 eV/atom; E = -4.505 eV per atom
1.0
4.607 -7.799 0.000
4.607 7.799 0.000
-1.474 0.000 9.803
Ca Tb Nd Y
2 4 12 2
Cartesian
3.501 6.274 7.352
4.238 -6.274 2.451
0.897 0.797 9.386
1.634 -0.797 4.485
6.105 0.797 5.318
6.842 -0.797 0.417
0.076 1.644 6.108
2.494 3.577 1.743
0.813 -1.644 1.206
3.247 2.754 5.409
3.756 2.754 9.295
5.982 3.577 3.159
1.757 -3.577 6.644
3.984 -2.754 0.508
4.493 -2.754 4.393
6.926 1.644 8.597
5.245 -3.577 8.060
7.663 -1.644 3.695
4.238 0.394 2.451
3.501 -0.394 7.352

=====

12.
CaTbNdY GGA-PBE optimized geometry; V = 34.7 Å³ per atom; Fermi-level density of states = 1.7359 states/eV/atom; energy of formation = 0.14 eV/atom; E = -4.327 eV per atom
1.0
0.000 4.110 4.110
4.110 0.000 4.110
4.110 4.110 0.000
Ca Tb Nd Y
1 1 1 1
Cartesian
0.000 0.000 0.000
4.110 4.110 4.110
2.055 2.055 2.055
6.165 6.165 6.165

=====

Among the records above, which one has the lowest E?
CaTb2Nd3Te6